The following is a PBE calculation of a geometry-optimized Y2Ga3CuNi4 structure, from the Alexandria database.

Cell and atoms, written as POSCAR:
```
Y2Ga3CuNi4
1.0
3.981 0.000 0.000
0.000 3.981 0.000
0.000 0.000 10.197
Y Ni Ga Cu
2 4 3 1
Cartesian
0.000 1.990 7.607 Y
1.990 0.000 2.590 Y
1.990 0.000 6.495 Ni
1.990 1.990 0.000 Ni
0.000 1.990 3.702 Ni
0.000 0.000 0.000 Ni
0.000 0.000 5.099 Ga
0.000 1.990 1.326 Ga
1.990 0.000 8.871 Ga
1.990 1.990 5.099 Cu
```

Uncorrected energy in eV/atom: -5.409
Total moment in μB/atom: 0.00
Energy relative to the elements in meV per atom: -486
Crystal system: tetragonal

The following is a PBE calculation of a geometry-optimized Y2GaCu3Ni12 structure, from the Alexandria database.

Cell and atoms, written as POSCAR:
```
Y2GaCu3Ni12
1.0
-4.748 -7.337 -3.310
-2.247 -8.894 1.782
-7.187 -5.700 1.786
Ni Ga Y Cu
12 1 2 3
Cartesian
-8.768 -11.443 0.807 Ni
-6.837 -12.691 0.805 Ni
-9.056 -17.058 -0.769 Ni
-3.750 -5.796 -1.847 Ni
-2.340 -6.674 1.024 Ni
-7.814 -12.083 -1.186 Ni
-7.344 -9.240 -0.547 Ni
-5.126 -4.873 1.027 Ni
-5.414 -10.488 -0.549 Ni
-6.367 -9.848 1.443 Ni
-10.432 -16.135 2.105 Ni
-11.842 -15.257 -0.767 Ni
0.000 0.000 0.000 Ga
-4.991 -7.718 0.091 Y
-9.191 -14.213 0.167 Y
-3.594 -2.850 0.893 Cu
-1.123 -4.447 0.891 Cu
-2.374 -3.669 -1.655 Cu
```

Uncorrected energy in eV/atom: -5.254
Total moment in μB/atom: 0.00
Energy relative to the elements in meV per atom: 169
Crystal system: trigonal

The following is a PBE calculation of a geometry-optimized Y2GaCu2Ni5 structure, from the Alexandria database.

Cell and atoms, written as POSCAR:
```
Y2GaCu2Ni5
1.0
3.642 0.000 0.000
0.000 8.995 0.000
0.000 0.000 8.995
Cu Y Ni Ga
4 4 10 2
Cartesian
0.000 7.929 3.431 Cu
0.000 3.431 1.066 Cu
0.000 1.066 5.563 Cu
0.000 5.563 7.929 Cu
0.000 1.608 2.890 Y
0.000 6.105 1.608 Y
0.000 2.890 7.387 Y
0.000 7.387 6.105 Y
1.821 3.960 2.669 Ni
1.821 5.035 6.325 Ni
1.821 2.669 5.035 Ni
1.821 6.325 3.960 Ni
1.821 4.497 0.000 Ni
1.821 0.000 4.497 Ni
1.821 8.457 1.828 Ni
1.821 7.167 8.457 Ni
1.821 1.828 0.537 Ni
1.821 0.537 7.167 Ni
0.000 4.497 4.497 Ga
0.000 0.000 0.000 Ga
```

Uncorrected energy in eV/atom: -5.598
Total moment in μB/atom: 0.00
Energy relative to the elements in meV per atom: -293
Crystal system: tetragonal

The following is a PBE calculation of a geometry-optimized YGa2CuNi4 structure, from the Alexandria database.

Cell and atoms, written as POSCAR:
```
YGa2CuNi4
1.0
-1.482 -3.113 2.149
1.458 -0.784 3.710
-5.545 3.545 5.152
Cu Y Ga Ni
1 1 2 4
Cartesian
-2.784 -0.176 5.506 Cu
0.000 0.000 0.000 Y
-1.598 0.092 2.872 Ga
-3.970 -0.444 8.140 Ga
-1.180 -1.580 4.579 Ni
-3.419 1.685 3.924 Ni
-2.149 -2.037 7.088 Ni
-4.389 1.228 6.433 Ni
```

Uncorrected energy in eV/atom: -5.317
Total moment in μB/atom: 0.00
Energy relative to the elements in meV per atom: -349
Crystal system: trigonal

The following is a PBE calculation of a geometry-optimized YGa2CuNi2 structure, from the Alexandria database.

Cell and atoms, written as POSCAR:
```
YGa2CuNi2
1.0
4.435 0.000 0.000
0.000 4.435 0.000
0.000 0.000 5.286
Ga Cu Ni Y
2 1 2 1
Cartesian
0.000 2.217 0.000 Ga
2.217 0.000 0.000 Ga
0.000 0.000 0.000 Cu
2.217 2.217 1.384 Ni
2.217 2.217 3.902 Ni
0.000 0.000 2.643 Y
```

Uncorrected energy in eV/atom: -4.706
Total moment in μB/atom: 0.00
Energy relative to the elements in meV per atom: -9
Crystal system: tetragonal

The following is a PBE calculation of a geometry-optimized Y2Ga4Cu3Ni structure, from the Alexandria database.

Cell and atoms, written as POSCAR:
```
Y2Ga4Cu3Ni
1.0
-1.883 -3.556 -0.822
3.110 -2.047 1.734
-4.711 0.426 8.955
Cu Y Ga Ni
3 2 4 1
Cartesian
0.906 -0.965 2.101 Cu
-5.004 -1.411 7.311 Cu
-2.356 0.213 4.478 Cu
-1.950 -0.707 7.530 Y
-2.148 -1.669 1.882 Y
-0.211 -0.864 4.223 Ga
0.613 -2.802 0.456 Ga
-3.888 -1.512 5.189 Ga
0.000 0.000 0.000 Ga
-1.742 -2.589 4.934 Ni
```

Uncorrected energy in eV/atom: -4.782
Total moment in μB/atom: 0.00
Energy relative to the elements in meV per atom: -471
Crystal system: tetragonal

The following is a PBE calculation of a geometry-optimized Y2Ga4CuNi3 structure, from the Alexandria database.

Cell and atoms, written as POSCAR:
```
Y2Ga4CuNi3
1.0
4.002 0.000 0.000
0.000 4.002 0.000
0.000 0.000 10.384
Ga Ni Cu Y
4 3 1 2
Cartesian
2.001 2.001 0.000 Ga
2.001 0.000 6.593 Ga
0.000 2.001 3.791 Ga
0.000 0.000 0.000 Ga
2.001 0.000 8.979 Ni
0.000 2.001 1.405 Ni
0.000 0.000 5.192 Ni
2.001 2.001 5.192 Cu
0.000 2.001 7.863 Y
2.001 0.000 2.521 Y
```

Uncorrected energy in eV/atom: -5.192
Total moment in μB/atom: 0.00
Energy relative to the elements in meV per atom: -545
Crystal system: tetragonal

The following is a PBE calculation of a geometry-optimized Y2Ga3CuNi12 structure, from the Alexandria database.

Cell and atoms, written as POSCAR:
```
Y2Ga3CuNi12
1.0
-6.530 2.959 5.695
-7.275 -2.949 4.711
-3.045 -1.042 8.571
Ni Ga Y Cu
12 3 2 1
Cartesian
-11.461 0.729 14.898 Ni
-8.260 -0.841 11.314 Ni
-5.389 -1.761 4.079 Ni
-4.963 1.616 4.641 Ni
-9.623 0.724 10.189 Ni
-13.879 -0.361 12.692 Ni
-6.936 0.554 9.173 Ni
-2.972 -0.671 6.285 Ni
-7.227 -1.756 8.788 Ni
-8.590 -0.191 7.663 Ni
-9.915 -1.586 9.804 Ni
-11.887 -2.648 14.336 Ni
-3.638 -1.474 2.356 Ga
-3.265 1.480 2.847 Ga
-1.523 -0.521 4.286 Ga
-10.997 -0.673 12.385 Y
-5.854 -0.358 6.593 Y
0.000 0.000 0.000 Cu
```

Uncorrected energy in eV/atom: -5.281
Total moment in μB/atom: 0.00
Energy relative to the elements in meV per atom: 23
Crystal system: trigonal